(1)
Nd2MgTe (GGA-PBE, relaxed); calculated volume = 247.6 Å³ per cell; energy relative to the elements, uncorrected = -613 meV/atom; offset from the most stable computed form = 66 meV/atom; theoretical density = 5.9 Mg/m³
1.0
4.1816 0.0000 0.0000
0.0164 7.5827 0.0000
0.0418 0.8085 7.8089
Nd Mg Te
4 2 2
Direct
0.1034 0.2561 0.4613
0.1066 0.7438 0.0378
0.8934 0.2562 0.9622
0.8966 0.7439 0.5387
0.4841 0.0013 0.7495
0.5159 0.9987 0.2505
0.3825 0.4987 0.7493
0.6175 0.5013 0.2507



(2)
Li2MgAs (GGA-PBE, relaxed); calculated volume = 161.4 Å³ per cell; ΔH_f (0 K) = -0.5157 eV/atom; offset from the most stable computed form = 19 meV/atom; theoretical density = 2.3 Mg/m³
1.0
8.4233 -2.1931 0.0000
8.4233 2.1931 0.0000
-0.0151 0.0000 4.3681
Li Mg As
4 2 2
Direct
0.0000 0.0000 0.0000
0.1416 0.1416 0.4989
0.5027 0.5027 0.4978
0.8322 0.8322 0.9987
0.3294 0.3294 0.4999
0.6453 0.6453 0.0026
0.2352 0.2352 0.9985
0.9212 0.9212 0.4995